[1]
An optimized crystal structure of Zr5Tc, computed with GGA-PBEsol.

a b c (Å): 3.2872 5.6802 7.2581
angles (deg): 108.67 90.00 106.82
Last column: nearest neighbours and their distance in Å.
Fractional coordinates of all 6 atoms:
Tc1 0.5000 0.0000 0.5000  8 Zr 2.73-2.88
Zr1 0.1462 0.2924 0.3550  2 Tc 2.73, 4 Zr 3.01-3.02
Zr2 0.8340 0.6680 0.1904  2 Tc 2.88, 7 Zr 3.09-3.21
Zr3 0.5000 0.0000 0.0000  10 Zr 3.02-3.29
Zr4 0.1660 0.3320 0.8096  2 Tc 2.88, 7 Zr 3.09-3.21
Zr5 0.8538 0.7076 0.6450  2 Tc 2.73, 4 Zr 3.01-3.02

Values from the calculation:
Distance to the lowest polymorph of the same formula = 0.0000 eV/atom
Energy relative to the elements = -0.12 eV per atom
Calculated volume = 122 Å³/cell
Spin magnetization = 0.00 μB per formula unit

---

[2]
An optimized crystal structure of Zr4Tc, computed with GGA-PBEsol.

a b c (Å): 3.2893 5.7615 5.7615
angles (deg): 85.33 73.41 73.41
Last column: nearest neighbours and their distance in Å.
Fractional coordinates of all 5 atoms:
Tc1 0.0000 0.0000 0.0000  8 Zr 2.79
Zr1 0.5854 0.1903 0.6389  2 Tc 2.79, 6 Zr 3.08-3.12
Zr2 0.7757 0.6389 0.8097  2 Tc 2.79, 6 Zr 3.08-3.12
Zr3 0.4146 0.8097 0.3611  2 Tc 2.79, 6 Zr 3.08-3.12
Zr4 0.2243 0.3611 0.1903  2 Tc 2.79, 6 Zr 3.08-3.12

Values from the calculation:
Distance to the lowest polymorph of the same formula = 0.0000 eV/atom
Energy relative to the elements = -0.18 eV per atom
Calculated volume = 100 Å³/cell
Spin magnetization = 0.00 μB per formula unit

---

[3]
An optimized crystal structure of Zr3Tc, computed with GGA-PBEsol.

a b c (Å): 3.0278 3.0278 9.3977
angles (deg): 90.00 90.00 114.05
Last column: nearest neighbours and their distance in Å.
Fractional coordinates of all 4 atoms:
Tc1 0.0000 0.0000 0.0000  4 Zr 2.63
Zr1 0.0000 0.0000 0.5000  10 Zr 3.03-3.30
Zr2 0.5000 0.5000 0.2177  2 Tc 2.63
Zr3 0.5000 0.5000 0.7823  2 Tc 2.63

Values from the calculation:
Energy relative to the elements = -0.05 eV per atom
Calculated volume = 79 Å³/cell
Spin magnetization = 0.00 μB per formula unit

---

[4]
An optimized crystal structure of Zr4Tc3, computed with GGA-PBEsol.

a b c (Å): 5.1344 5.1344 5.6184
angles (deg): 90.00 90.00 120.00
Last column: nearest neighbours and their distance in Å.
Fractional coordinates of all 7 atoms:
Tc1 0.0000 0.5000 0.0000  4 Tc 2.57
Tc2 0.5000 0.0000 0.0000  4 Tc 2.57
Tc3 0.5000 0.5000 0.0000  4 Tc 2.57
Zr1 0.0000 0.0000 0.7476  2 Zr 2.78-2.84, 6 Tc 2.93
Zr2 0.0000 0.0000 0.2524  2 Zr 2.78-2.84, 6 Tc 2.93
Zr3 0.3333 0.6667 0.5000  9 Zr 2.96-3.27, 6 Tc 3.18
Zr4 0.6667 0.3333 0.5000  9 Zr 2.96-3.27, 6 Tc 3.18

Values from the calculation:
Energy relative to the elements = -0.23 eV per atom
Calculated volume = 128 Å³/cell
Spin magnetization = 0.00 μB per formula unit